Record 1
Density functional theory data (GGA-PBE) for AcCe2Sb3 after structural relaxation.

Unit cell a=4.605 b=6.536 c=13.831 alpha=90.00 beta=90.00 gamma=90.00
Space group Immm (No. 71)
Inequivalent atoms, fractional coordinates:
Ac1 0.000 0.000 0.000
Ce1 0.000 0.000 0.335
Sb1 0.000 0.500 0.000
Sb2 0.000 0.500 0.324

The value obtained for the formation energy (no corrections) is -1079 meV/atom. For the density of states at the Fermi level, the calculation gives 13.1 states/eV/f.u. The value obtained for the magnetization is 1.73 μB per formula unit.

***

Record 2
Density functional theory data (GGA-PBE) for Tm2MnTl3Se6 after structural relaxation.

Unit cell a=7.037 b=12.092 c=8.020 alpha=90.00 beta=107.15 gamma=90.00
Space group C2/m (No. 12)
Inequivalent atoms, fractional coordinates:
Tm1 0.000 0.165 0.000
Mn1 0.000 0.500 0.000
Tl1 0.000 0.000 0.500
Tl2 0.000 0.325 0.500
Se1 0.220 0.343 0.193
Se2 0.249 0.000 0.207

The value obtained for the formation energy (no corrections) is -1020 meV/atom. For the density of states at the Fermi level, the calculation gives 4.3 states/eV/f.u. The value obtained for the magnetization is 4.12 μB per formula unit.

***

Record 3
Density functional theory data (GGA-PBE) for Dy3Zn9Co2 after structural relaxation.

Unit cell a=4.292 b=9.173 c=12.171 alpha=90.00 beta=90.00 gamma=90.00
Space group Immm (No. 71)
Inequivalent atoms, fractional coordinates:
Dy1 0.000 0.000 0.000
Dy2 0.000 0.000 0.308
Zn1 0.000 0.280 0.122
Zn2 0.000 0.358 0.345
Zn3 0.000 0.500 0.000
Co1 0.000 0.172 0.500

As for the energy of formation from the pure elements: -272 meV/atom. For the density of states at the Fermi level, the calculation gives 9.0 states/eV/f.u. The value obtained for the magnetization is 0.00 μB per formula unit.

***

Record 4
Density functional theory data (GGA-PBE) for LaHfHg2H after structural relaxation.

Unit cell a=5.532 b=5.532 c=5.642 alpha=90.00 beta=90.00 gamma=90.00
Space group P4/mmm (No. 123)
Inequivalent atoms, fractional coordinates:
La1 0.000 0.000 0.000
Hf1 0.000 0.000 0.500
Hg1 0.000 0.500 0.500
H1 0.500 0.500 0.000

For the uncorrected energy, the calculation gives -14.47 eV per formula unit. For the density of states at the Fermi level, the calculation gives 5.9 states/eV/f.u. The value obtained for the magnetization is 0.00 μB per formula unit.

***

Record 5
Density functional theory data (GGA-PBE) for RbGaSn2Au after structural relaxation.

Unit cell a=4.923 b=4.923 c=11.754 alpha=90.00 beta=90.00 gamma=90.00
Space group I-4m2 (No. 119)
Inequivalent atoms, fractional coordinates:
Rb1 0.000 0.000 0.000
Ga1 0.000 0.500 0.750
Sn1 0.000 0.000 0.372
Au1 0.000 0.500 0.250

As for the energy of formation from the pure elements: -199 meV/atom. For the density of states at the Fermi level, the calculation gives 1.8 states/eV/f.u. The value obtained for the magnetization is 0.00 μB per formula unit.

***

Record 6
Density functional theory data (GGA-PBE) for TmCoH2 after structural relaxation.

Unit cell a=3.7080 b=3.7080 c=11.5326 alpha=90.00 beta=90.00 gamma=120.00
Space group R-3m (No. 166, hexagonal axes)
Inequivalent atoms, fractional coordinates:
Tm1 0.0000 0.0000 0.0000
Co1 0.0000 0.0000 0.5000
H1 0.0000 0.0000 0.3657

For the uncorrected energy, the calculation gives -19.38 eV per formula unit. For the density of states at the Fermi level, the calculation gives 2.7 states/eV/f.u. The value obtained for the magnetization is 0.14 μB per formula unit.

***

Record 7
Density functional theory data (GGA-PBE) for Ta2Te after structural relaxation.

Unit cell a=3.281 b=3.281 c=23.354 alpha=90.00 beta=90.00 gamma=90.00
Space group I4_1/amd (No. 141, origin choice 2)
Inequivalent atoms, fractional coordinates:
Ta1 0.000 0.250 0.297
Te1 0.000 0.250 0.875

The value obtained for the formation energy (no corrections) is 552 meV/atom. For the density of states at the Fermi level, the calculation gives 2.2 states/eV/f.u. The value obtained for the magnetization is 0.00 μB per formula unit.

***

Record 8
Density functional theory data (GGA-PBE) for Nd4Al2Zn after structural relaxation.

Unit cell a=5.2340 b=5.2340 c=25.3036 alpha=90.00 beta=90.00 gamma=120.00
Space group R-3m (No. 166, hexagonal axes)
Inequivalent atoms, fractional coordinates:
Nd1 0.0000 0.0000 0.1213
Nd2 0.0000 0.0000 0.3727
Al1 0.0000 0.0000 0.2475
Zn1 0.0000 0.0000 0.5000

As for the energy of formation from the pure elements: -218 meV/atom. For the density of states at the Fermi level, the calculation gives 7.3 states/eV/f.u. The value obtained for the magnetization is 0.00 μB per formula unit.

***

- Which value of magnetization does entry 5 give?
  0.00 μB per formula unit

***

- What is the magnetization in the first record?
  1.73 μB per formula unit